Record 1
! Sc2PbCl (PBE, relaxed); values from VASP
&SYSTEM
  ibrav = 0, nat = 8, ntyp = 3
/
ATOMIC_SPECIES
Pb 207.20 Pb.upf
Sc 44.96 Sc.upf
Cl 35.45 Cl.upf
CELL_PARAMETERS angstrom
5.887 0.000 0.000
0.000 5.887 0.000
2.944 2.944 6.862
ATOMIC_POSITIONS crystal
Pb 0.000 0.000 0.000
Pb 0.750 0.250 0.500
Sc 0.582 0.125 0.250
Sc 0.168 0.625 0.250
Sc 0.375 0.418 0.750
Sc 0.875 0.832 0.750
Cl 0.500 0.500 0.000
Cl 0.250 0.750 0.500
! Distance to the lowest polymorph of the same formula: 0.424 eV/atom
! Energy relative to the elements, uncorrected: -0.373 eV per atom
! Total moment: 0.00 μB/atom
! Volume: 238 Å³ per cell
! Crystal system: tetragonal
! E: -0.362 Ry/atom


Record 2
! ScPbCl (PBE, relaxed); values from VASP
&SYSTEM
  ibrav = 0, nat = 3, ntyp = 3
/
ATOMIC_SPECIES
Cl 35.45 Cl.upf
Pb 207.20 Pb.upf
Sc 44.96 Sc.upf
CELL_PARAMETERS angstrom
4.908 0.000 0.000
2.454 4.251 0.000
2.454 1.417 4.008
ATOMIC_POSITIONS crystal
Cl 0.000 0.000 0.000
Pb 0.500 0.500 0.500
Sc 0.250 0.250 0.250
! Distance to the lowest polymorph of the same formula: 0.769 eV/atom
! Energy relative to the elements, uncorrected: -0.191 eV per atom
! Total moment: 0.00 μB/atom
! Volume: 84 Å³ per cell
! Crystal system: cubic
! E: -0.305 Ry/atom


Record 3
! Sc2PbCl (PBE, relaxed); values from VASP
&SYSTEM
  ibrav = 0, nat = 4, ntyp = 3
/
ATOMIC_SPECIES
Pb 207.20 Pb.upf
Sc 44.96 Sc.upf
Cl 35.45 Cl.upf
CELL_PARAMETERS angstrom
0.000 3.575 3.575
3.575 0.000 3.575
3.575 3.575 0.000
ATOMIC_POSITIONS crystal
Pb 0.500 0.500 0.500
Sc 0.250 0.250 0.250
Sc 0.750 0.750 0.750
Cl 0.000 0.000 0.000
! Distance to the lowest polymorph of the same formula: 0.224 eV/atom
! Energy relative to the elements, uncorrected: -0.573 eV per atom
! Total moment: 0.24 μB/atom
! Volume: 91 Å³ per cell
! Crystal system: cubic
! E: -0.377 Ry/atom


Record 4
! ScPb4Cl (PBE, relaxed); values from VASP
&SYSTEM
  ibrav = 0, nat = 6, ntyp = 3
/
ATOMIC_SPECIES
Sc 44.96 Sc.upf
Pb 207.20 Pb.upf
Cl 35.45 Cl.upf
CELL_PARAMETERS angstrom
-6.026 -0.719 1.954
-4.205 4.720 -0.831
-4.686 -0.622 -4.279
ATOMIC_POSITIONS crystal
Sc 0.750 0.750 0.750
Pb 0.874 0.375 0.375
Pb 0.375 0.375 0.874
Pb 0.375 0.874 0.375
Pb 0.375 0.375 0.375
Cl 0.000 0.000 0.000
! Energy relative to the elements, uncorrected: 0.021 eV per atom
! Total moment: 0.00 μB/atom
! Volume: 183 Å³ per cell
! Crystal system: cubic
! E: -0.280 Ry/atom


Record 5
! ScPb2Cl (PBE, relaxed); values from VASP
&SYSTEM
  ibrav = 0, nat = 4, ntyp = 3
/
ATOMIC_SPECIES
Cl 35.45 Cl.upf
Pb 207.20 Pb.upf
Sc 44.96 Sc.upf
CELL_PARAMETERS angstrom
-3.290 4.068 2.353
-2.307 -0.158 -2.953
-5.024 -3.842 -0.382
ATOMIC_POSITIONS crystal
Cl 0.500 0.750 0.750
Pb 0.000 0.210 0.014
Pb 0.000 0.290 0.486
Sc 0.500 0.250 0.250
! Distance to the lowest polymorph of the same formula: 0.293 eV/atom
! Energy relative to the elements, uncorrected: -0.383 eV per atom
! Total moment: 0.11 μB/atom
! Volume: 113 Å³ per cell
! Crystal system: monoclinic
! E: -0.315 Ry/atom


Record 6
! ScPbCl2 (PBE, relaxed); values from VASP
&SYSTEM
  ibrav = 0, nat = 4, ntyp = 3
/
ATOMIC_SPECIES
Pb 207.20 Pb.upf
Sc 44.96 Sc.upf
Cl 35.45 Cl.upf
CELL_PARAMETERS angstrom
-10.643 1.306 2.732
-11.047 0.302 -0.566
-10.695 -2.074 1.941
ATOMIC_POSITIONS crystal
Pb 0.250 0.250 0.250
Sc 0.750 0.750 0.750
Cl 0.034 0.034 0.034
Cl 0.466 0.466 0.466
! Distance to the lowest polymorph of the same formula: 0.000 eV/atom
! Energy relative to the elements, uncorrected: -1.276 eV per atom
! Total moment: 0.06 μB/atom
! Volume: 114 Å³ per cell
! Crystal system: trigonal
! E: -0.346 Ry/atom